No. 1
Entry from Alexandria via LeMat-Bulk: a geometry-optimized CdTcF5 structure (PBE).

Summary:
M_tot   2.00 μB per formula unit
Mass density   4.609 Mg/m³
Energy relative to the elements, uncorrected   -1.9635 eV/atom
Space-group type   C2/c

Lattice parameters (Å, degrees): 5.7337 5.7337 7.9230 96.24 113.31 107.63
Atoms (fractional coordinates):
Cd 0.7155 0.4655 0.2500
Cd 0.2845 0.5345 0.7500
Tc 0.0000 0.0000 0.0000
Tc 0.5000 0.0000 0.5000
F 0.8695 0.2147 0.1229
F 0.1603 0.7069 0.4746
F 0.4081 0.2534 0.6229
F 0.3575 0.1075 0.2500
F 0.7324 0.6858 0.0254
F 0.2676 0.3142 0.9746
F 0.6425 0.8925 0.7500
F 0.5919 0.7466 0.3771
F 0.8397 0.2931 0.5254
F 0.1305 0.7853 0.8771

No. 2
Entry from Alexandria via LeMat-Bulk: a geometry-optimized CdTc2F8 structure (PBE).

Summary:
M_tot   6.02 μB per formula unit
Mass density   4.671 Mg/m³
Energy relative to the elements, uncorrected   -1.8554 eV/atom
Space-group type   C2/m

Lattice parameters (Å, degrees): 4.6013 7.4796 6.1014 127.80 82.57 90.00
Atoms (fractional coordinates):
F 0.2778 0.6031 0.2061
F 0.7222 0.3969 0.7938
F 0.7536 0.8760 0.2253
F 0.2510 0.1792 0.3581
F 0.2461 0.6506 0.7748
F 0.2464 0.1240 0.7747
F 0.7490 0.8208 0.6419
F 0.7539 0.3494 0.2252
Tc 0.2426 0.3856 0.7714
Tc 0.7574 0.6144 0.2286
Cd 0.0000 0.0000 0.0000

No. 3
Entry from Alexandria via LeMat-Bulk: a geometry-optimized Cd2TcF structure (PBE).

Summary:
M_tot   2.70 μB per formula unit
Mass density   7.763 Mg/m³
Energy relative to the elements, uncorrected   0.1708 eV/atom
Space-group type   Fm-3m
Distance to the lowest polymorph of the same formula   149 meV per atom

Lattice parameters (Å, degrees): 4.6936 4.6936 4.6936 60.00 60.00 60.00
Atoms (fractional coordinates):
F 0.0000 0.0000 0.0000
Tc 0.5000 0.5000 0.5000
Cd 0.2500 0.2500 0.2500
Cd 0.7500 0.7500 0.7500